(1)
This record from the Alexandria database describes a geometry-optimized CrPRh structure. The functional is GGA-PBE.

a b c (Å): 5.566 5.566 5.566
angles (deg): 90.00 90.00 90.00
Space group F-43m (No. 216)
Unique sites:
1 Cr 0.000 0.000 0.000 (multiplicity 4)
2 P 0.250 0.250 0.250 (multiplicity 4)
3 Rh 0.000 0.000 0.500 (multiplicity 4)

Total moment (μB/cell): 11.04
DFT formation energy (eV per formula unit): -1.384
N(E_F) (states/eV per atom): 0.56
Crystal system: cubic


(2)
This record from the Alexandria database describes a geometry-optimized CrPRh structure. The functional is GGA-PBE.

a b c (Å): 6.8981 6.8981 2.8537
angles (deg): 90.00 90.00 120.00
Space group P-62m (No. 189)
Unique sites:
1 Cr 0.0000 0.0000 0.0000 (multiplicity 1)
2 Cr 0.3333 0.6667 0.5000 (multiplicity 2)
3 P 0.0000 0.3663 0.0000 (multiplicity 3)
4 Rh 0.0000 0.7017 0.5000 (multiplicity 3)

Total moment (μB/cell): 1.77
DFT formation energy (eV per formula unit): 0.033
N(E_F) (states/eV per atom): 0.96
Crystal system: hexagonal


(3)
This record from the Alexandria database describes a geometry-optimized CrP3Rh structure. The functional is GGA-PBE.

a b c (Å): 4.348 4.348 4.348
angles (deg): 90.00 90.00 90.00
Space group Pm-3m (No. 221)
Unique sites:
1 Cr 0.000 0.000 0.000 (multiplicity 1)
2 P 0.000 0.000 0.500 (multiplicity 3)
3 Rh 0.500 0.500 0.500 (multiplicity 1)

Total moment (μB/cell): 0.00
DFT formation energy (eV per formula unit): 2.784
N(E_F) (states/eV per atom): 0.50
Crystal system: cubic


(4)
This record from the Alexandria database describes a geometry-optimized Cr3PRh structure. The functional is GGA-PBE.

a b c (Å): 4.691 4.691 4.691
angles (deg): 90.00 90.00 90.00
Space group Pm-3m (No. 221)
Unique sites:
1 Cr 0.000 0.000 0.500 (multiplicity 3)
2 P 0.500 0.500 0.500 (multiplicity 1)
3 Rh 0.000 0.000 0.000 (multiplicity 1)

Total moment (μB/cell): 11.03
DFT formation energy (eV per formula unit): 6.520
N(E_F) (states/eV per atom): 1.54
Crystal system: cubic


(5)
This record from the Alexandria database describes a geometry-optimized CrPRh structure. The functional is GGA-PBE.

a b c (Å): 2.7580 2.7580 5.7961
angles (deg): 90.00 90.00 120.00
Space group P3m1 (No. 156)
Unique sites:
1 Cr 0.0000 0.0000 0.0000 (multiplicity 1)
2 P 0.6667 0.3333 0.3000 (multiplicity 1)
3 Rh 0.3333 0.6667 0.6392 (multiplicity 1)

Total moment (μB/cell): 0.00
DFT formation energy (eV per formula unit): -0.281
N(E_F) (states/eV per atom): 1.13
Crystal system: trigonal


(6)
This record from the Alexandria database describes a geometry-optimized CrPRh structure. The functional is GGA-PBE.

a b c (Å): 2.841 2.841 9.257
angles (deg): 90.00 90.00 90.00
Space group I4mm (No. 107)
Unique sites:
1 Cr 0.000 0.000 0.000 (multiplicity 2)
2 P 0.000 0.000 0.372 (multiplicity 2)
3 Rh 0.000 0.000 0.699 (multiplicity 2)

Total moment (μB/cell): 0.00
DFT formation energy (eV per formula unit): -0.802
N(E_F) (states/eV per atom): 0.66
Crystal system: tetragonal


(7)
This record from the Alexandria database describes a geometry-optimized CrPRh3 structure. The functional is GGA-PBE.

a b c (Å): 4.439 4.439 4.439
angles (deg): 90.00 90.00 90.00
Space group Pm-3m (No. 221)
Unique sites:
1 Cr 0.000 0.000 0.000 (multiplicity 1)
2 P 0.500 0.500 0.500 (multiplicity 1)
3 Rh 0.000 0.000 0.500 (multiplicity 3)

Total moment (μB/cell): 0.00
DFT formation energy (eV per formula unit): 5.449
N(E_F) (states/eV per atom): 1.10
Crystal system: cubic


(8)
This record from the Alexandria database describes a geometry-optimized CrPRh structure. The functional is GGA-PBE.

a b c (Å): 2.791 3.817 7.244
angles (deg): 90.00 90.00 90.00
Space group Imm2 (No. 44)
Unique sites:
1 Cr 0.000 0.000 0.000 (multiplicity 2)
2 P 0.000 0.000 0.674 (multiplicity 2)
3 Rh 0.000 0.000 0.345 (multiplicity 2)

Total moment (μB/cell): 1.88
DFT formation energy (eV per formula unit): -0.247
N(E_F) (states/eV per atom): 0.99
Crystal system: orthorhombic


(9)
This record from the Alexandria database describes a geometry-optimized CrPRh4 structure. The functional is GGA-PBE.

a b c (Å): 7.213 7.213 7.213
angles (deg): 90.00 90.00 90.00
Space group F-43m (No. 216)
Unique sites:
1 Cr 0.000 0.000 0.000 (multiplicity 4)
2 P 0.250 0.250 0.750 (multiplicity 4)
3 Rh 0.125 0.125 0.375 (multiplicity 16)

Total moment (μB/cell): 12.29
DFT formation energy (eV per formula unit): 2.892
N(E_F) (states/eV per atom): 1.55
Crystal system: cubic


(10)
This record from the Alexandria database describes a geometry-optimized Cr3PRh structure. The functional is GGA-PBE.

a b c (Å): 4.208 4.208 4.208
angles (deg): 90.00 90.00 90.00
Space group Pm-3m (No. 221)
Unique sites:
1 Cr 0.000 0.000 0.500 (multiplicity 3)
2 P 0.000 0.000 0.000 (multiplicity 1)
3 Rh 0.500 0.500 0.500 (multiplicity 1)

Total moment (μB/cell): 5.30
DFT formation energy (eV per formula unit): 2.906
N(E_F) (states/eV per atom): 1.17
Crystal system: cubic


(11)
This record from the Alexandria database describes a geometry-optimized CrPRh2S structure. The functional is GGA-PBE.

a b c (Å): 4.318 4.318 4.558
angles (deg): 90.00 90.00 90.00
Space group P4/mmm (No. 123)
Unique sites:
1 Cr 0.000 0.000 0.000 (multiplicity 1)
2 P 0.500 0.500 0.000 (multiplicity 1)
3 Rh 0.000 0.500 0.500 (multiplicity 2)
4 S 0.500 0.500 0.500 (multiplicity 1)

Total moment (μB/cell): 0.11
Energy relative to the elements, uncorrected (meV/atom): 990
N(E_F) (states/eV per atom): 1.84
Crystal system: tetragonal


(12)
This record from the Alexandria database describes a geometry-optimized CrPRhS2 structure. The functional is GGA-PBE.

a b c (Å): 4.849 4.849 4.305
angles (deg): 90.00 90.00 90.00
Space group P4/mmm (No. 123)
Unique sites:
1 Cr 0.000 0.000 0.000 (multiplicity 1)
2 P 0.500 0.500 0.000 (multiplicity 1)
3 Rh 0.500 0.500 0.500 (multiplicity 1)
4 S 0.000 0.500 0.500 (multiplicity 2)

Total moment (μB/cell): 3.77
Energy relative to the elements, uncorrected (meV/atom): 580
N(E_F) (states/eV per atom): 0.62
Crystal system: tetragonal


(13)
This record from the Alexandria database describes a geometry-optimized CrPRhS2 structure. The functional is GGA-PBE.

a b c (Å): 4.352 4.352 4.461
angles (deg): 90.00 90.00 90.00
Space group P4/mmm (No. 123)
Unique sites:
1 Cr 0.000 0.000 0.000 (multiplicity 1)
2 P 0.000 0.000 0.500 (multiplicity 1)
3 Rh 0.500 0.500 0.500 (multiplicity 1)
4 S 0.000 0.500 0.000 (multiplicity 2)

Total moment (μB/cell): 0.00
Energy relative to the elements, uncorrected (meV/atom): 572
N(E_F) (states/eV per atom): 0.78
Crystal system: tetragonal


(14)
This record from the Alexandria database describes a geometry-optimized CrP2RhSe structure. The functional is GGA-PBE.

a b c (Å): 4.735 4.735 4.491
angles (deg): 90.00 90.00 90.00
Space group P4/mmm (No. 123)
Unique sites:
1 Cr 0.000 0.000 0.000 (multiplicity 1)
2 P 0.000 0.500 0.500 (multiplicity 2)
3 Rh 0.500 0.500 0.000 (multiplicity 1)
4 Se 0.500 0.500 0.500 (multiplicity 1)

Total moment (μB/cell): 0.02
Energy relative to the elements, uncorrected (meV/atom): 1516
N(E_F) (states/eV per atom): 1.54
Crystal system: tetragonal


(15)
This record from the Alexandria database describes a geometry-optimized CrSi2PRh structure. The functional is GGA-PBE.

a b c (Å): 4.450 4.450 4.753
angles (deg): 90.00 90.00 90.00
Space group P4/mmm (No. 123)
Unique sites:
1 Cr 0.000 0.000 0.000 (multiplicity 1)
2 Si 0.000 0.500 0.500 (multiplicity 2)
3 P 0.500 0.500 0.000 (multiplicity 1)
4 Rh 0.000 0.000 0.500 (multiplicity 1)

Total moment (μB/cell): 0.05
Energy relative to the elements, uncorrected (meV/atom): 908
N(E_F) (states/eV per atom): 1.02
Crystal system: tetragonal


(16)
This record from the Alexandria database describes a geometry-optimized SmCrP2Rh5 structure. The functional is GGA-PBE.

a b c (Å): 4.067 4.067 9.687
angles (deg): 90.00 90.00 90.00
Space group P4/mmm (No. 123)
Unique sites:
1 Sm 0.000 0.000 0.000 (multiplicity 1)
2 Cr 0.500 0.500 0.500 (multiplicity 1)
3 P 0.500 0.500 0.231 (multiplicity 2)
4 Rh 0.000 0.500 0.343 (multiplicity 4)
5 Rh 0.500 0.500 0.000 (multiplicity 1)

Total moment (μB/cell): 2.11
DFT formation energy (eV per formula unit): -2.856
N(E_F) (states/eV per atom): 0.59
Crystal system: tetragonal


(17)
This record from the Alexandria database describes a geometry-optimized SrCrP2Rh structure. The functional is GGA-PBE.

a b c (Å): 3.973 3.973 11.763
angles (deg): 90.00 90.00 90.00
Space group I-4m2 (No. 119)
Unique sites:
1 Sr 0.000 0.000 0.000 (multiplicity 2)
2 Cr 0.000 0.500 0.250 (multiplicity 2)
3 P 0.000 0.000 0.356 (multiplicity 4)
4 Rh 0.000 0.500 0.750 (multiplicity 2)

Total moment (μB/cell): 3.29
DFT formation energy (eV per formula unit): -4.248
N(E_F) (states/eV per atom): 0.43
Crystal system: tetragonal


(18)
This record from the Alexandria database describes a geometry-optimized TaCrP2Rh structure. The functional is GGA-PBE.

a b c (Å): 4.319 4.319 4.492
angles (deg): 90.00 90.00 90.00
Space group P4/mmm (No. 123)
Unique sites:
1 Ta 0.000 0.000 0.000 (multiplicity 1)
2 Cr 0.500 0.500 0.500 (multiplicity 1)
3 P 0.000 0.500 0.500 (multiplicity 2)
4 Rh 0.500 0.500 0.000 (multiplicity 1)

Total moment (μB/cell): 1.21
DFT formation energy (eV per formula unit): 3.750
N(E_F) (states/eV per atom): 1.16
Crystal system: tetragonal


(19)
This record from the Alexandria database describes a geometry-optimized CrTcPRh2 structure. The functional is GGA-PBE.

a b c (Å): 4.453 4.453 4.293
angles (deg): 90.00 90.00 90.00
Space group P4/mmm (No. 123)
Unique sites:
1 Cr 0.000 0.000 0.000 (multiplicity 1)
2 Tc 0.500 0.500 0.500 (multiplicity 1)
3 P 0.000 0.000 0.500 (multiplicity 1)
4 Rh 0.000 0.500 0.000 (multiplicity 2)

Total moment (μB/cell): 3.50
DFT formation energy (eV per formula unit): 5.204
N(E_F) (states/eV per atom): 1.14
Crystal system: tetragonal


(20)
This record from the Alexandria database describes a geometry-optimized ThCrP2Rh5 structure. The functional is GGA-PBE.

a b c (Å): 4.140 4.140 10.862
angles (deg): 90.00 90.00 90.00
Space group P4/mmm (No. 123)
Unique sites:
1 Th 0.000 0.000 0.000 (multiplicity 1)
2 Cr 0.500 0.500 0.500 (multiplicity 1)
3 P 0.500 0.500 0.284 (multiplicity 2)
4 Rh 0.000 0.500 0.198 (multiplicity 4)
5 Rh 0.500 0.500 0.000 (multiplicity 1)

Total moment (μB/cell): 4.41
DFT formation energy (eV per formula unit): -3.457
N(E_F) (states/eV per atom): 0.59
Crystal system: tetragonal